1.
KSnAu3: optimized geometry, PBE-GGA.

D(E_F) = 0.1451 states/eV/atom
E above lowest polymorph = 0.073 eV per atom
formation enthalpy at 0 K = -0.130 eV per atom
volume = 151.6 Å³/f.u.
mass density = 8.2 g/cm3
SG = Pm-3m (221)

Cell: 5.3324 5.3324 5.3324 Å, 90.00 90.00 90.00°
Last column: nearest neighbours and their distance in Å.
Fractional coordinates of all 5 atoms:
K  0.0000  0.0000  0.0000  12 Au 3.77
Sn  0.5000  0.5000  0.5000  6 Au 2.67
Au  0.0000  0.5000  0.5000  2 Sn 2.67
Au  0.5000  0.0000  0.5000  2 Sn 2.67
Au  0.5000  0.5000  0.0000  2 Sn 2.67

=====

2.
NbP2SI: optimized geometry, PBE-GGA.

D(E_F) = 0.7707 states/eV/atom
E above lowest polymorph = 1.384 eV per atom
volume = 123.8 Å³/f.u.
formation energy without anion corrections = 1627 meV per atom
mass density = 4.2 g/cm3
SG = P4/mmm (123)

Cell: 5.0279 5.0279 4.8955 Å, 90.00 90.00 90.00°
Last column: nearest neighbours and their distance in Å.
Fractional coordinates of all 5 atoms:
Nb  0.0000  0.0000  0.0000  8 P 3.51, 4 S 3.56
P  0.0000  0.5000  0.5000  2 I 2.51
P  0.5000  0.0000  0.5000  2 I 2.51
S  0.5000  0.5000  0.0000  2 I 2.45
I  0.5000  0.5000  0.5000  2 S 2.45, 4 P 2.51

=====

3.
La3Er: optimized geometry, PBE-GGA.

D(E_F) = 2.8760 states/eV/atom
E above lowest polymorph = 0.126 eV per atom
formation enthalpy at 0 K = 0.133 eV per atom
volume = 144.2 Å³/f.u.
mass density = 6.7 g/cm3
SG = Fm-3m (225)

Cell: 5.8860 5.8860 5.8860 Å, 60.00 60.00 60.00°
Last column: nearest neighbours and their distance in Å.
Fractional coordinates of all 4 atoms:
La  0.0000  0.0000  0.0000  8 La 3.60
La  0.2500  0.2500  0.2500  4 Er 3.60, 4 La 3.60
La  0.7500  0.7500  0.7500  4 La 3.60, 4 Er 3.60
Er  0.5000  0.5000  0.5000  8 La 3.60

=====

4.
CeGdHoAg: optimized geometry, PBE-GGA.

D(E_F) = 1.8282 states/eV/atom
formation enthalpy at 0 K = 0.106 eV per atom
volume = 106.6 Å³/f.u.
mass density = 8.9 g/cm3
SG = F-43m (216)

Cell: 5.3215 5.3215 5.3215 Å, 60.00 60.00 60.00°
Last column: nearest neighbours and their distance in Å.
Fractional coordinates of all 4 atoms:
Ce  0.0000  0.0000  0.0000  4 Gd 3.26, 4 Ho 3.26
Gd  0.2500  0.2500  0.2500  4 Ce 3.26, 4 Ag 3.26
Ho  0.7500  0.7500  0.7500  4 Ag 3.26, 4 Ce 3.26
Ag  0.5000  0.5000  0.5000  4 Ho 3.26, 4 Gd 3.26

=====

5.
Tm2Ga3Ag2: optimized geometry, PBE-GGA.

D(E_F) = 0.3462 states/eV/atom
E above lowest polymorph = 0.026 eV per atom
formation enthalpy at 0 K = -0.407 eV per atom
volume = 140.1 Å³/f.u.
mass density = 9.0 g/cm3
SG = C2/m (12)

Cell: 5.7350 5.7350 6.6571 Å, 112.71 112.71 44.77°
Last column: nearest neighbours and their distance in Å.
Fractional coordinates of all 7 atoms:
Tm  0.1482  0.1482  0.2728  4 Ga 3.03-3.22, 4 Ag 3.09-3.12
Tm  0.8518  0.8518  0.7272  4 Ga 3.03-3.22, 4 Ag 3.09-3.12
Ga  0.4049  0.4049  0.0677  2 Ga 2.53-2.62, 3 Ag 2.67-2.71
Ga  0.5000  0.5000  0.5000  2 Ga 2.62, 4 Ag 2.78
Ga  0.5951  0.5951  0.9323  2 Ga 2.53-2.62, 3 Ag 2.67-2.71
Ag  0.1493  0.1493  0.7411  5 Ga 2.67-2.78
Ag  0.8507  0.8507  0.2589  5 Ga 2.67-2.78

=====

6.
Al2AgCl: optimized geometry, PBE-GGA.

D(E_F) = 0.4355 states/eV/atom
E above lowest polymorph = 0.278 eV per atom
volume = 78.7 Å³/f.u.
formation energy without anion corrections = 47 meV per atom
mass density = 4.2 g/cm3
SG = Pmmm (47)

Cell: 2.9501 4.6532 5.7355 Å, 90.00 90.00 90.00°
Last column: nearest neighbours and their distance in Å.
Fractional coordinates of all 4 atoms:
Al  0.0000  0.0000  0.0000  4 Cl 2.75, 2 Al 2.95
Al  0.5000  0.0000  0.5000  4 Ag 2.75, 2 Al 2.95
Ag  0.0000  0.5000  0.5000  4 Al 2.75, 2 Ag 2.95
Cl  0.5000  0.5000  0.0000  4 Al 2.75, 2 Cl 2.95

=====

7.
Cs3ScAg: optimized geometry, PBE-GGA.

D(E_F) = 1.2017 states/eV/atom
formation enthalpy at 0 K = 0.825 eV per atom
volume = 394.3 Å³/f.u.
mass density = 2.3 g/cm3
SG = Pm-3m (221)

Cell: 7.3329 7.3329 7.3329 Å, 90.00 90.00 90.00°
Last column: nearest neighbours and their distance in Å.
Fractional coordinates of all 5 atoms:
Cs  0.0000  0.0000  0.5000  2 Sc 3.67
Cs  0.0000  0.5000  0.0000  2 Sc 3.67
Cs  0.5000  0.0000  0.0000  2 Sc 3.67
Sc  0.0000  0.0000  0.0000  6 Cs 3.67
Ag  0.5000  0.5000  0.5000  12 Cs 5.19

=====

8.
Bi2BSb: optimized geometry, PBE-GGA.

D(E_F) = 0.7081 states/eV/atom
E above lowest polymorph = 0.374 eV per atom
volume = 100.0 Å³/f.u.
formation energy without anion corrections = 1040 meV per atom
mass density = 9.1 g/cm3
SG = Fm-3m (225)

Cell: 5.2100 5.2100 5.2100 Å, 60.00 60.00 60.00°
Last column: nearest neighbours and their distance in Å.
Fractional coordinates of all 4 atoms:
Bi  0.2500  0.2500  0.2500  4 Sb 3.19, 4 B 3.19
Bi  0.7500  0.7500  0.7500  4 Sb 3.19, 4 B 3.19
B  0.0000  0.0000  0.0000  8 Bi 3.19
Sb  0.5000  0.5000  0.5000  8 Bi 3.19

=====

9.
K3TaSe4: optimized geometry, PBE-GGA.

D(E_F) = 0.0000 states/eV/atom
volume = 283.2 Å³/f.u.
formation energy without anion corrections = -1109 meV per atom
mass density = 3.6 g/cm3
SG = Pmn2_1 (31)

Cell: 12.7935 6.6955 6.6115 Å, 90.00 90.00 90.00°
Last column: nearest neighbours and their distance in Å.
Fractional coordinates of all 16 atoms:
K  0.0000  0.1791  0.0000  4 Se 3.36-3.41
K  0.2501  0.2701  0.5467  6 Se 3.22-3.56
K  0.2499  0.7299  0.0467  6 Se 3.22-3.56
K  0.5000  0.8209  0.5000  4 Se 3.36-3.41
K  0.7499  0.2701  0.5467  6 Se 3.22-3.56
K  0.7501  0.7299  0.0467  6 Se 3.22-3.56
Ta  0.0000  0.6430  0.4328  4 Se 2.41-2.44
Ta  0.5000  0.3570  0.9328  4 Se 2.41-2.44
Se  0.0000  0.2879  0.4966  1 Ta 2.41
Se  0.0000  0.6756  0.0692  1 Ta 2.41
Se  0.1662  0.7768  0.5533  1 Ta 2.44
Se  0.3338  0.2232  0.0533  1 Ta 2.44
Se  0.5000  0.3244  0.5692  1 Ta 2.41
Se  0.5000  0.7121  0.9966  1 Ta 2.41
Se  0.6662  0.2232  0.0533  1 Ta 2.44
Se  0.8338  0.7768  0.5533  1 Ta 2.44

=====

10.
ScMoS2N: optimized geometry, PBE-GGA.

D(E_F) = 0.5549 states/eV/atom
E above lowest polymorph = 0.000 eV per atom
volume = 87.7 Å³/f.u.
formation energy without anion corrections = -427 meV per atom
mass density = 4.1 g/cm3
SG = P4/mmm (123)

Cell: 4.8131 4.8131 3.7856 Å, 90.00 90.00 90.00°
Last column: nearest neighbours and their distance in Å.
Fractional coordinates of all 5 atoms:
Sc  0.0000  0.0000  0.0000  8 S 3.06, 4 N 3.40
Mo  0.5000  0.5000  0.5000  2 N 1.89
S  0.0000  0.5000  0.5000  2 Mo 2.41
S  0.5000  0.0000  0.5000  2 Mo 2.41
N  0.5000  0.5000  0.0000  2 Mo 1.89

=====

11.
NiIrSe2: optimized geometry, PBE-GGA.

D(E_F) = 0.8301 states/eV/atom
volume = 70.3 Å³/f.u.
formation energy without anion corrections = 344 meV per atom
mass density = 9.7 g/cm3
SG = Cmm2 (35)

Cell: 2.8959 2.8959 9.6680 Å, 90.00 90.00 119.82°
Last column: nearest neighbours and their distance in Å.
Fractional coordinates of all 4 atoms:
Ni  0.0000  0.0000  0.0000  2 Se 2.34, 2 Ir 2.59
Ir  0.5000  0.5000  0.2222  2 Se 2.53, 2 Ni 2.59
Se  0.0000  0.0000  0.4367  2 Ir 2.53
Se  0.5000  0.5000  0.8105  2 Ni 2.34

=====

12.
Pm2Tm3In4: optimized geometry, PBE-GGA.

D(E_F) = 0.9410 states/eV/atom
E above lowest polymorph = 0.099 eV per atom
formation enthalpy at 0 K = -0.293 eV per atom
volume = 262.1 Å³/f.u.
mass density = 8.0 g/cm3
SG = Cmce (64)

Cell: 9.1176 9.1176 8.9250 Å, 90.00 90.00 135.04°
Last column: nearest neighbours and their distance in Å.
Fractional coordinates of all 18 atoms:
Pm  0.1074  0.8926  0.9194  8 In 3.40-3.74, 2 Tm 3.70
Pm  0.3926  0.6074  0.4194  8 In 3.40-3.74, 2 Tm 3.70
Pm  0.6074  0.3926  0.5806  8 In 3.40-3.74, 2 Tm 3.70
Pm  0.8926  0.1074  0.0806  8 In 3.40-3.74, 2 Tm 3.70
Tm  0.0000  0.0000  0.5000  6 In 2.91-3.06
Tm  0.0291  0.4709  0.7500  5 In 3.03-3.20
Tm  0.4709  0.0291  0.2500  5 In 3.03-3.20
Tm  0.5000  0.5000  0.0000  6 In 2.91-3.06
Tm  0.5291  0.9709  0.7500  5 In 3.03-3.20
Tm  0.9709  0.5291  0.2500  5 In 3.03-3.20
In  0.1803  0.8197  0.5404  5 Tm 3.05-3.20
In  0.2091  0.2909  0.7500  3 Tm 2.91-3.03
In  0.2909  0.2091  0.2500  3 Tm 2.91-3.03
In  0.3197  0.6803  0.0404  5 Tm 3.05-3.20
In  0.6803  0.3197  0.9596  5 Tm 3.05-3.20
In  0.7091  0.7909  0.7500  3 Tm 2.91-3.03
In  0.7909  0.7091  0.2500  3 Tm 2.91-3.03
In  0.8197  0.1803  0.4596  5 Tm 3.05-3.20